## PmZr4Zn5 (GGA-PBE)

Data for a geometry-optimized PmZr4Zn5 structure.

**ΔH_f (0 K)**: -0.26 eV per atom
**DFT total energy**: -4.7961 eV/atom
**Symmetry**: P4/mmm

a b c (Å): 3.398 3.398 17.039
angles (deg): 90.00 90.00 90.00
Sites, in units of the cell vectors:
Pm (0.000, 0.000, 0.000)
Zr (0.000, 0.000, 0.211)
Zr (0.000, 0.000, 0.404)
Zr (0.000, 0.000, 0.596)
Zr (0.000, 0.000, 0.789)
Zn (0.500, 0.500, 0.120)
Zn (0.500, 0.500, 0.308)
Zn (0.500, 0.500, 0.500)
Zn (0.500, 0.500, 0.692)
Zn (0.500, 0.500, 0.880)

## Y3VAu (GGA-PBE)

Data for a geometry-optimized Y3VAu structure.

**Relative energy among the computed polymorphs**: 0 meV/atom
**ΔH_f (0 K)**: 0.38 eV per atom
**DFT total energy**: -5.9742 eV/atom
**Symmetry**: Pm-3m

a b c (Å): 5.175 5.175 5.175
angles (deg): 90.00 90.00 90.00
Sites, in units of the cell vectors:
Y (0.000, 0.500, 0.000)
Y (0.000, 0.000, 0.500)
Y (0.500, 0.000, 0.000)
Au (0.500, 0.500, 0.500)
V (0.000, 0.000, 0.000)

## PrSm2Al2Ag2 (GGA-PBE)

Data for a geometry-optimized PrSm2Al2Ag2 structure.

**ΔH_f (0 K)**: -0.28 eV per atom
**DFT total energy**: -4.1979 eV/atom
**Symmetry**: R-3m

a b c (Å): 4.722 4.722 9.549
angles (deg): 75.69 75.69 60.00
Sites, in units of the cell vectors:
Pr (0.000, 0.000, 0.000)
Sm (0.128, 0.128, 0.617)
Sm (0.872, 0.872, 0.383)
Al (0.741, 0.741, 0.778)
Al (0.259, 0.259, 0.222)
Ag (0.598, 0.598, 0.207)
Ag (0.402, 0.402, 0.793)

## Th3VRh12 (GGA-PBE)

Data for a geometry-optimized Th3VRh12 structure.

**ΔH_f (0 K)**: -0.61 eV per atom
**DFT total energy**: -8.0824 eV/atom
**Symmetry**: P4/mmm

a b c (Å): 4.055 4.055 16.249
angles (deg): 90.00 90.00 90.00
Sites, in units of the cell vectors:
Th (0.000, 0.000, 0.242)
Th (0.000, 0.000, 0.500)
Th (0.000, 0.000, 0.758)
V (0.000, 0.000, 0.000)
Rh (0.500, 0.500, 0.000)
Rh (0.500, 0.500, 0.239)
Rh (0.500, 0.500, 0.500)
Rh (0.500, 0.500, 0.761)
Rh (0.500, 0.000, 0.107)
Rh (0.500, 0.000, 0.370)
Rh (0.500, 0.000, 0.630)
Rh (0.500, 0.000, 0.893)
Rh (0.000, 0.500, 0.107)
Rh (0.000, 0.500, 0.370)
Rh (0.000, 0.500, 0.630)
Rh (0.000, 0.500, 0.893)